Below is an optimized crystal structure of EuMg3Zn, with properties calculated at the PBE level.

* SG: Pm-3m
* formation energy: 0.0210 eV per atom
* Fermi-level density of states: 2.547 states/eV per atom

Unit cell a=5.1205 b=5.1205 c=5.1205 alpha=90.00 beta=90.00 gamma=90.00
Each line ends with the local moment (μB).
Fractional coordinates of all 5 atoms:
Eu1 0.5000 0.5000 0.5000  6.98
Zn1 0.0000 0.0000 0.0000  -0.02
Mg1 0.0000 0.5000 0.0000  0.01
Mg2 0.0000 0.0000 0.5000  0.01
Mg3 0.5000 0.0000 0.0000  0.01

***

Below is an optimized crystal structure of BaY6Te8, with properties calculated at the PBE level.

* SG: R-3
* uncorrected formation energy: -1.296 eV/atom
* Fermi-level density of states: 0.263 states/eV per atom

Unit cell a=8.2852 b=8.2852 c=8.2852 alpha=89.94 beta=89.94 gamma=89.94
Each line ends with the local moment (μB).
Fractional coordinates of all 15 atoms:
Ba1 0.0000 0.0000 0.0000  0.01
Y1 0.5881 0.4311 0.8033  0.18
Y2 0.4311 0.8033 0.5881  0.18
Y3 0.8033 0.5881 0.4311  0.18
Y4 0.4119 0.5689 0.1967  0.18
Y5 0.5689 0.1967 0.4119  0.18
Y6 0.1967 0.4119 0.5689  0.18
Te1 0.7537 0.7537 0.7537  -0.01
Te2 0.2463 0.2463 0.2463  -0.01
Te3 0.6240 0.8677 0.2624  -0.01
Te4 0.8677 0.2624 0.6240  -0.01
Te5 0.2624 0.6240 0.8677  -0.01
Te6 0.3760 0.1323 0.7376  -0.01
Te7 0.1323 0.7376 0.3760  -0.01
Te8 0.7376 0.3760 0.1323  -0.01